No. 1
K3Er after structural relaxation. Source: the Alexandria database, functional PBE.

The structure in CIF format:
```
data_K3Er
_symmetry_space_group_name_H-M 'F m -3 m'
_symmetry_Int_Tables_number 225
_symmetry_space_group_name_Hall '-F 4 2 3'
_cell_length_a 9.6584
_cell_length_b 9.6584
_cell_length_c 9.6584
_cell_angle_alpha 90.00
_cell_angle_beta 90.00
_cell_angle_gamma 90.00
loop_
_atom_site_label
_atom_site_type_symbol
_atom_site_fract_x
_atom_site_fract_y
_atom_site_fract_z
K1 K 0.0000 0.0000 0.0000
K2 K 0.2500 0.2500 0.2500
Er1 Er 0.0000 0.0000 0.5000
```

Properties
The value obtained for the offset from the most stable computed form is 7.9 meV per atom. Its uncorrected energy is -5.52 eV/f.u. Its crystal system is cubic. The formation energy comes out at 0.583 eV per atom.


No. 2
K16Rb4Hg3 after structural relaxation. Source: the Alexandria database, functional PBE.

The structure in CIF format:
```
data_K16Rb4Hg3
_symmetry_space_group_name_H-M 'P 4/m m m'
_symmetry_Int_Tables_number 123
_symmetry_space_group_name_Hall '-P 4 2'
_cell_length_a 9.1207
_cell_length_b 9.1207
_cell_length_c 18.2839
_cell_angle_alpha 90.00
_cell_angle_beta 90.00
_cell_angle_gamma 90.00
loop_
_atom_site_label
_atom_site_type_symbol
_atom_site_fract_x
_atom_site_fract_y
_atom_site_fract_z
K1 K 0.0000 0.0000 0.1922
K2 K 0.2495 0.2495 0.3901
K3 K 0.2634 0.2634 0.0000
K4 K 0.5000 0.5000 0.1988
Rb1 Rb 0.0000 0.5000 0.1938
Hg1 Hg 0.0000 0.0000 0.0000
Hg2 Hg 0.0000 0.5000 0.5000
```

Properties
Its uncorrected energy is -23.33 eV/f.u. Its crystal system is tetragonal. The formation energy comes out at -0.043 eV per atom.


No. 3
La3TbSm after structural relaxation. Source: the Alexandria database, functional PBE.

The structure in CIF format:
```
data_La3TbSm
_symmetry_space_group_name_H-M 'C 1 2/c 1'
_symmetry_Int_Tables_number 15
_symmetry_space_group_name_Hall '-C 2yc'
_cell_length_a 15.6839
_cell_length_b 13.7431
_cell_length_c 6.7475
_cell_angle_alpha 90.00
_cell_angle_beta 104.86
_cell_angle_gamma 90.00
loop_
_atom_site_label
_atom_site_type_symbol
_atom_site_fract_x
_atom_site_fract_y
_atom_site_fract_z
La1 La 0.0974 0.1845 0.4393
La2 La 0.2001 0.3120 0.1515
La3 La 0.1995 0.4373 0.6510
Tb1 Tb 0.0988 0.0682 0.9409
Sm1 Sm 0.0000 0.3093 0.7500
Sm2 Sm 0.0000 0.4346 0.2500
```

Properties
The value obtained for the offset from the most stable computed form is 0.0 meV per atom. Its uncorrected energy is -23.88 eV/f.u. Its crystal system is monoclinic. The formation energy comes out at 0.051 eV per atom.


Question: Look up the formation energy of the second one.
Answer: -0.043 eV per atom